# AsIr meta-GGA SCAN single point on PBEsol structure
# - DFT formation energy: 47 kJ/mol of formula units
# - N(E_F): 2.53 states/eV per cell
data_AsIr
_chemical_formula_sum 'As2 Ir2'
_symmetry_space_group_name_H-M 'P m m a'
_symmetry_Int_Tables_number 51
_cell_length_a 4.4605
_cell_length_b 2.9300
_cell_length_c 4.6488
_cell_angle_alpha 90.00
_cell_angle_beta 90.00
_cell_angle_gamma 90.00
loop_
_symmetry_equiv_pos_as_xyz
'x,y,z'
'-x,-y,-z'
'-x+1/2,-y,z'
'x+1/2,y,-z'
'x+1/2,-y,-z'
'-x+1/2,y,z'
'-x,y,-z'
'x,-y,z'
loop_
_atom_site_label
_atom_site_fract_x
_atom_site_fract_y
_atom_site_fract_z
As1 0.2500 0.0000 0.2308
Ir1 0.2500 0.5000 0.6983